The following is a DFT calculation (GGA-PBE) of a relaxed structure of DyIn2Sb.

For the electronic total energy, the calculation gives -0.1463 hartree per atom. Its energy above the most stable polymorph in this dataset is 0 meV/atom. For the calculated density, the calculation gives 8.22 g/cm3.

The space group is P4/mmm (No. 123) and the conventional cell measures 4.5487, 4.5487 and 5.0199 Å, with angles of 90.00, 90.00 and 90.00 degrees. Symmetry generates all atoms from Dy at (0.0000, 0.0000, 0.0000), In at (0.0000, 0.5000, 0.5000) and Sb at (0.5000, 0.5000, 0.0000).